# 1
Entry from Alexandria via LeMat-Bulk: a relaxed Sc4MoOs crystal (GGA-PBE).

Unit cell a=5.4232 b=5.4232 c=5.4232 alpha=60.00 beta=60.00 gamma=60.00
Positions (direct):
Sc1 0.1252 0.1252 0.1252
Sc2 0.1252 0.1252 0.6245
Sc3 0.1252 0.6245 0.1252
Sc4 0.6245 0.1252 0.1252
Mo1 0.7500 0.7500 0.7500
Os1 0.5000 0.5000 0.5000

Output
Crystal system ... cubic
Formation enthalpy at 0 K ... 0.66 eV/atom
SG ... F-43m

# 2
Entry from Alexandria via LeMat-Bulk: a relaxed ScMo2Os2 crystal (GGA-PBE).

Unit cell a=7.5777 b=7.5777 c=2.9187 alpha=90.00 beta=90.00 gamma=90.00
Positions (direct):
Sc1 0.0000 0.0000 0.0000
Sc2 0.5000 0.5000 0.0000
Mo1 0.1655 0.3345 0.5000
Mo2 0.3345 0.8345 0.5000
Mo3 0.6655 0.1655 0.5000
Mo4 0.8345 0.6655 0.5000
Os1 0.1301 0.6301 0.0000
Os2 0.3699 0.1301 0.0000
Os3 0.6301 0.8699 0.0000
Os4 0.8699 0.3699 0.0000

Output
Energy above the most stable polymorph in this dataset ... 2.5 kJ/mol of atoms
Crystal system ... tetragonal
Formation enthalpy at 0 K ... 0.06 eV/atom
SG ... P4/mbm

# 3
Entry from Alexandria via LeMat-Bulk: a relaxed ScMoOs crystal (GGA-PBE).

Unit cell a=5.3115 b=5.3115 c=5.5131 alpha=120.51 beta=120.51 gamma=49.54
Positions (direct):
Sc1 0.0000 0.0000 0.0000
Sc2 0.6812 0.6812 0.0045
Mo1 0.3345 0.3345 0.5079
Mo2 0.6622 0.6622 0.4885
Os1 0.0007 0.0007 0.5032
Os2 0.3444 0.3444 0.0017

Output
Energy above the most stable polymorph in this dataset ... 15.1 kJ/mol of atoms
Crystal system ... monoclinic
Formation enthalpy at 0 K ... -0.11 eV/atom
SG ... Cm

# 4
Entry from Alexandria via LeMat-Bulk: a relaxed ScMoOs crystal (GGA-PBE).

Unit cell a=2.9464 b=2.9464 c=6.7454 alpha=90.00 beta=90.00 gamma=120.00
Positions (direct):
Sc1 0.0000 0.0000 0.0000
Mo1 0.6667 0.3333 0.3594
Os1 0.3333 0.6667 0.6598

Output
Energy above the most stable polymorph in this dataset ... 42.7 kJ/mol of atoms
Crystal system ... trigonal
Formation enthalpy at 0 K ... 0.18 eV/atom
SG ... P3m1

# 5
Entry from Alexandria via LeMat-Bulk: a relaxed ScMoOs crystal (GGA-PBE).

Unit cell a=4.5027 b=4.5027 c=5.5800 alpha=90.00 beta=90.00 gamma=120.00
Positions (direct):
Sc1 0.0000 0.0000 0.0000
Sc2 0.3333 0.6667 0.3200
Mo1 0.0000 0.0000 0.5139
Mo2 0.6667 0.3333 0.6608
Os1 0.3333 0.6667 0.8084
Os2 0.6667 0.3333 0.1653

Output
Energy above the most stable polymorph in this dataset ... 10.1 kJ/mol of atoms
Crystal system ... trigonal
Formation enthalpy at 0 K ... -0.16 eV/atom
SG ... P3m1

# 6
Entry from Alexandria via LeMat-Bulk: a relaxed ScMoOs crystal (GGA-PBE).

Unit cell a=4.5972 b=5.2793 c=5.2793 alpha=49.61 beta=90.00 gamma=90.00
Positions (direct):
Sc1 0.0000 0.0000 0.0000
Sc2 0.0000 0.3216 0.3216
Mo1 0.5000 0.1532 0.1532
Mo2 0.5000 0.8161 0.8161
Os1 0.0000 0.6639 0.6639
Os2 0.5000 0.4870 0.4870

Output
Energy above the most stable polymorph in this dataset ... 17.5 kJ/mol of atoms
Crystal system ... orthorhombic
Formation enthalpy at 0 K ... -0.08 eV/atom
SG ... Amm2

# 7
Entry from Alexandria via LeMat-Bulk: a relaxed ScMoOs4 crystal (GGA-PBE).

Unit cell a=5.1611 b=5.1611 c=5.1611 alpha=60.00 beta=60.00 gamma=60.00
Positions (direct):
Sc1 0.0000 0.0000 0.0000
Mo1 0.7500 0.7500 0.7500
Os1 0.3744 0.3744 0.3744
Os2 0.3744 0.3744 0.8767
Os3 0.3744 0.8767 0.3744
Os4 0.8767 0.3744 0.3744

Output
Crystal system ... cubic
Formation enthalpy at 0 K ... 0.08 eV/atom
SG ... F-43m

# 8
Entry from Alexandria via LeMat-Bulk: a relaxed ScMoOs crystal (GGA-PBE).

Unit cell a=5.3645 b=5.3645 c=6.6766 alpha=124.98 beta=124.98 gamma=47.59
Positions (direct):
Sc1 0.0609 0.0609 0.3080
Sc2 0.9391 0.9391 0.6920
Mo1 0.3298 0.3298 0.9193
Mo2 0.6702 0.6702 0.0807
Os1 0.3398 0.3398 0.2958
Os2 0.6602 0.6602 0.7042

Output
Energy above the most stable polymorph in this dataset ... 12.7 kJ/mol of atoms
Crystal system ... monoclinic
Formation enthalpy at 0 K ... -0.13 eV/atom
SG ... C2/m

Among the records above, which one has the highest formation enthalpy at 0 K?
Sc4MoOs